Material: RbPH3O4F
Method: DFT, GGA-PBE
State: relaxed

a = 9.181 Å, b = 4.647 Å, c = 12.322 Å
α = 90.00°, β = 90.00°, γ = 90.00°
Space group Pna2_1 (No. 33)
One atom of each set of equivalent atoms:
1 Rb 0.158 0.141 0.000 (multiplicity 4)
2 P 0.022 0.418 0.743 (multiplicity 4)
3 H 0.098 0.267 0.401 (multiplicity 4)
4 H 0.100 0.867 0.708 (multiplicity 4)
5 H 0.215 0.687 0.210 (multiplicity 4)
6 O 0.022 0.479 0.356 (multiplicity 4)
7 O 0.092 0.666 0.672 (multiplicity 4)
8 O 0.113 0.687 0.174 (multiplicity 4)
9 O 0.131 0.167 0.749 (multiplicity 4)
10 F 0.155 0.116 0.448 (multiplicity 4)

Properties
total DFT energy (no corrections): -0.4148 Ry/atom


Material: LiPdN
Method: DFT, GGA-PBE
State: relaxed

a = 10.922 Å, b = 2.839 Å, c = 5.233 Å
α = 90.00°, β = 101.06°, γ = 90.00°
Space group C2/m (No. 12)
One atom of each set of equivalent atoms:
1 Li 0.129 0.000 0.326 (multiplicity 4)
2 Pd 0.154 0.000 0.835 (multiplicity 4)
3 N 0.008 0.500 0.886 (multiplicity 4)

Properties
uncorrected formation energy: 25 meV per atom
polymorph energy (0 for the lowest one): 254 meV per atom


Material: Cs2Mg3Tl12In
Method: DFT, GGA-PBE
State: relaxed

a = 7.9336 Å, b = 7.9336 Å, c = 35.1634 Å
α = 90.00°, β = 90.00°, γ = 120.00°
Space group R-3m (No. 166, hexagonal axes)
One atom of each set of equivalent atoms:
1 Cs 0.0000 0.0000 0.1490 (multiplicity 6)
2 Mg 0.0000 0.5000 0.0000 (multiplicity 9)
3 Tl 0.0441 0.5221 0.0949 (multiplicity 18)
4 Tl 0.0635 0.5318 0.6211 (multiplicity 18)
5 In 0.0000 0.0000 0.5000 (multiplicity 3)

Properties
calculated formation energy: 52 meV per atom


Material: Dy2HoFe9
Method: DFT, GGA-PBE
State: relaxed

a = 5.0812 Å, b = 5.0812 Å, c = 24.2321 Å
α = 90.00°, β = 90.00°, γ = 120.00°
Space group R-3m (No. 166, hexagonal axes)
One atom of each set of equivalent atoms:
1 Dy 0.0000 0.0000 0.1418 (multiplicity 6)
2 Ho 0.0000 0.0000 0.0000 (multiplicity 3)
3 Fe 0.0000 0.0000 0.3328 (multiplicity 6)
4 Fe 0.0000 0.0000 0.5000 (multiplicity 3)
5 Fe 0.0005 0.5002 0.0812 (multiplicity 18)

Properties
calculated formation energy: -75 meV per atom


| no. | ρ (Mg/m³) |
| --- | --- |
| 1 | 2.56 |
| 2 | 5.31 |
| 3 | 7.55 |
| 4 | 9.13 |